Record 1
Compound: MnTc2Mo
Source: the Alexandria database
Functional: PBE
Structure: relaxed

POSCAR file:
```
MnTc2Mo
1.0
-1.938 -0.119 1.936
0.258 -3.740 0.029
3.894 0.299 3.917
Tc Mn Mo
2 1 1
direct
0.000 0.000 0.482
0.000 0.000 0.018
0.500 0.500 0.250
0.500 0.500 0.750
```

Total moment (μB/f.u.): 0.99
Crystal system: orthorhombic
D(E_F) (states/eV/f.u.): 4.88
DFT total energy (eV/atom): -10.009
DFT formation energy (eV/atom): 0.1740
Space group: Pmmm

---

Record 2
Compound: Mn2TcMo
Source: the Alexandria database
Functional: PBE
Structure: relaxed

POSCAR file:
```
Mn2TcMo
1.0
8.866 0.030 0.018
8.458 2.661 0.018
8.458 1.314 2.314
Tc Mn Mo
1 2 1
direct
0.750 0.750 0.750
0.497 0.497 0.497
0.003 0.003 0.003
0.250 0.250 0.250
```

Total moment (μB/f.u.): 1.80
Crystal system: trigonal
D(E_F) (states/eV/f.u.): 5.19
DFT total energy (eV/atom): -9.614
DFT formation energy (eV/atom): 0.2705
Space group: R-3m

---

Record 3
Compound: TiMnTcMo
Source: the Alexandria database
Functional: PBE
Structure: relaxed

POSCAR file:
```
TiMnTcMo
1.0
4.314 0.000 0.000
2.157 3.736 0.000
2.157 1.245 3.522
Mo Ti Tc Mn
1 1 1 1
direct
0.500 0.500 0.500
0.000 0.000 0.000
0.750 0.750 0.750
0.250 0.250 0.250
```

Total moment (μB/f.u.): 0.00
Crystal system: cubic
D(E_F) (states/eV/f.u.): 1.35
DFT total energy (eV/atom): -9.815
DFT formation energy (eV/atom): -0.2493
Space group: F-43m

---

Record 4
Compound: MnVTcMo
Source: the Alexandria database
Functional: PBE
Structure: relaxed

POSCAR file:
```
MnVTcMo
1.0
4.266 0.000 0.000
2.133 3.694 0.000
2.133 1.231 3.483
Mo Tc V Mn
1 1 1 1
direct
0.000 0.000 0.000
0.250 0.250 0.250
0.500 0.500 0.500
0.750 0.750 0.750
```

Total moment (μB/f.u.): 0.00
Crystal system: cubic
D(E_F) (states/eV/f.u.): 4.15
DFT total energy (eV/atom): -9.949
DFT formation energy (eV/atom): -0.0773
Space group: F-43m